The following is a DFT calculation (PBE-GGA) of a geometry-optimized NdHo4Tl2 structure.

Cell and atoms, written as POSCAR:
```
NdHo4Tl2
1.0
8.305 -2.699 0.000
8.305 2.699 0.000
-2.791 0.000 9.520
Nd Ho Tl
2 8 4
direct
0.099 0.099 0.074 Nd
0.901 0.901 0.926 Nd
0.034 0.034 0.686 Ho
0.258 0.258 0.919 Ho
0.297 0.297 0.307 Ho
0.359 0.359 0.671 Ho
0.641 0.641 0.329 Ho
0.703 0.703 0.693 Ho
0.742 0.742 0.081 Ho
0.966 0.966 0.314 Ho
0.158 0.158 0.501 Tl
0.448 0.448 0.136 Tl
0.552 0.552 0.864 Tl
0.842 0.842 0.499 Tl
```

- Total energy: -4.087 eV per atom
- Magnetic moment: 0.000 μB per atom
- Energy relative to the lowest polymorph listed for this composition: 5 meV/atom